Material: Ce3NdDy2S6
Method: DFT, PBE
State: optimized geometry

Output
Total DFT energy (no corrections) (eV per atom): -6.742
Crystal system: monoclinic
Size of the total moment (μB per formula unit): 2.53

Cell and atoms, written as CIF:
```
data_Ce3NdDy2S6
_chemical_formula_sum 'Ce6 Nd2 Dy4 S12'
_space_group_name_H-M_alt 'C 1 2/m 1'
_space_group_IT_number 12
_cell_length_a 6.902
_cell_length_b 11.963
_cell_length_c 6.947
_cell_angle_alpha 90.00
_cell_angle_beta 109.39
_cell_angle_gamma 90.00
loop_
_space_group_symop_operation_xyz
'x,y,z'
'-x,-y,-z'
'-x,y,-z'
'x,-y,z'
'x+1/2,y+1/2,z'
'-x+1/2,-y+1/2,-z'
'-x+1/2,y+1/2,-z'
'x+1/2,-y+1/2,z'
loop_
_atom_site_label
_atom_site_fract_x
_atom_site_fract_y
_atom_site_fract_z
_atom_site_occupancy
Ce1 0.000 0.000 0.000 1
Ce2 0.000 0.336 0.000 1
Nd1 0.000 0.500 0.500 1
Dy1 0.000 0.167 0.500 1
S1 0.238 0.000 0.741 1
S2 0.248 0.171 0.256 1
```